# 1
{"formula": "TaCdBr2", "functional": "PBE", "state": "relaxed", "energy_ev_per_atom": -3.289, "de_polymorph_mev_per_atom": 949, "density_g_cm3": 7.78, "lattice": [[-4.730, -2.278, -3.520], [0.755, -2.993, -5.516], [2.169, 0.067, 5.937]], "species": ["Cd", "Br", "Br", "Ta"], "fractional_positions": [[0.500, 0.500, 0.000], [0.000, 0.000, 0.000], [0.250, 0.750, 0.500], [0.750, 0.250, 0.500]]}

***

# 2
{"formula": "TaCd3Br", "functional": "PBE", "state": "relaxed", "energy_ev_per_atom": -2.332, "de_polymorph_mev_per_atom": 0, "density_g_cm3": 5.62, "lattice": [[-4.154, -3.218, 1.971], [2.933, -4.598, -1.324], [2.374, 0.050, 5.085]], "species": ["Cd", "Cd", "Cd", "Br", "Ta"], "fractional_positions": [[0.000, 0.500, 0.000], [0.000, 0.000, 0.500], [0.500, 0.000, 0.000], [0.500, 0.500, 0.500], [0.000, 0.000, 0.000]]}

***

# 3
{"formula": "TaCdBr2", "functional": "PBE", "state": "relaxed", "energy_ev_per_atom": -3.517, "de_polymorph_mev_per_atom": 721, "density_g_cm3": 8.36, "lattice": [[-1.171, 0.707, 2.887], [0.014, -5.777, 1.421], [4.408, 0.425, 1.683]], "species": ["Cd", "Br", "Br", "Ta"], "fractional_positions": [[0.500, 0.000, 0.500], [0.000, 0.000, 0.000], [0.500, 0.500, 0.000], [0.000, 0.500, 0.500]]}

***

# 4
{"formula": "TaCdBr3", "functional": "PBE", "state": "relaxed", "energy_ev_per_atom": -3.676, "de_polymorph_mev_per_atom": 0, "density_g_cm3": 6.24, "lattice": [[5.214, 0.000, 0.000], [0.000, 5.214, 0.000], [0.000, 0.000, 5.214]], "species": ["Ta", "Cd", "Br", "Br", "Br"], "fractional_positions": [[0.000, 0.000, 0.000], [0.500, 0.500, 0.500], [0.000, 0.500, 0.000], [0.000, 0.000, 0.500], [0.500, 0.000, 0.000]]}

***

# 5
{"formula": "Ta3CdBr", "functional": "PBE", "state": "relaxed", "energy_ev_per_atom": -5.249, "de_polymorph_mev_per_atom": 940, "density_g_cm3": 9.43, "lattice": [[-2.731, -4.144, 0.983], [3.983, -2.071, 2.334], [-1.510, 2.034, 4.380]], "species": ["Cd", "Br", "Ta", "Ta", "Ta"], "fractional_positions": [[0.000, 0.000, 0.000], [0.500, 0.500, 0.500], [0.000, 0.500, 0.000], [0.000, 0.000, 0.500], [0.500, 0.000, 0.000]]}

***

# 6
{"formula": "Ta2CdBr", "functional": "PBE", "state": "relaxed", "energy_ev_per_atom": -5.974, "de_polymorph_mev_per_atom": 453, "density_g_cm3": 11.52, "lattice": [[4.796, 0.000, 0.000], [0.000, 3.044, 0.050], [0.000, -0.103, 5.473]], "species": ["Cd", "Br", "Ta", "Ta"], "fractional_positions": [[0.500, 0.750, 0.750], [0.500, 0.250, 0.250], [0.000, 0.135, 0.990], [0.000, 0.365, 0.510]]}

***

# 7
{"formula": "Ta2CdBr", "functional": "PBE", "state": "relaxed", "energy_ev_per_atom": -5.647, "de_polymorph_mev_per_atom": 780, "density_g_cm3": 11.63, "lattice": [[5.366, 0.006, 0.000], [2.058, 4.956, 0.000], [-3.712, -2.481, 2.977]], "species": ["Cd", "Br", "Ta", "Ta"], "fractional_positions": [[0.750, 0.250, 0.500], [0.500, 0.500, 0.000], [0.000, 0.000, 0.000], [0.250, 0.750, 0.500]]}

***

# 8
{"formula": "TaTiCdBr2", "functional": "PBE", "state": "relaxed", "energy_ev_per_atom": -3.923, "density_g_cm3": 5.83, "lattice": [[-4.440, -2.171, -0.433], [2.259, -4.996, 1.883], [-1.079, 1.274, 4.672]], "species": ["Cd", "Ti", "Br", "Br", "Ta"], "fractional_positions": [[0.000, 0.500, 0.000], [0.500, 0.500, 0.500], [0.000, 0.000, 0.500], [0.500, 0.000, 0.000], [0.000, 0.000, 0.000]]}

***

# 9
{"formula": "TbCdBr6", "functional": "PBE", "state": "relaxed", "energy_ev_per_atom": -3.039, "density_g_cm3": 4.75, "lattice": [[-3.949, 4.184, -3.966], [1.315, 0.590, -6.835], [-4.703, -3.156, -4.775]], "species": ["Tb", "Cd", "Br", "Br", "Br", "Br", "Br", "Br"], "fractional_positions": [[0.500, 0.500, 0.500], [0.000, 0.000, 0.000], [0.076, 0.424, 0.749], [0.750, 0.075, 0.752], [0.578, 0.251, 0.249], [0.250, 0.925, 0.248], [0.924, 0.576, 0.251], [0.422, 0.749, 0.751]]}

***

# 10
{"formula": "Tb2CdBr", "functional": "PBE", "state": "relaxed", "energy_ev_per_atom": -3.244, "density_g_cm3": 7.17, "lattice": [[3.501, 0.000, 0.000], [1.750, 3.032, 0.000], [1.750, 1.011, 11.129]], "species": ["Tb", "Tb", "Br", "Cd"], "fractional_positions": [[0.096, 0.096, 0.713], [0.904, 0.904, 0.287], [0.500, 0.500, 0.500], [0.000, 0.000, 0.000]]}

***

# 11
{"formula": "Cd4TcBr", "functional": "PBE", "state": "relaxed", "energy_ev_per_atom": -1.973, "density_g_cm3": 7.97, "lattice": [[0.000, 4.029, 4.029], [4.029, 0.000, 4.029], [4.029, 4.029, 0.000]], "species": ["Cd", "Cd", "Cd", "Cd", "Tc", "Br"], "fractional_positions": [[0.872, 0.376, 0.376], [0.376, 0.376, 0.872], [0.376, 0.872, 0.376], [0.376, 0.376, 0.376], [0.750, 0.750, 0.750], [0.000, 0.000, 0.000]]}

***

# 12
{"formula": "CdTc2Br", "functional": "PBE", "state": "relaxed", "energy_ev_per_atom": -4.774, "de_polymorph_mev_per_atom": 884, "density_g_cm3": 9.57, "lattice": [[4.629, 0.000, 0.000], [0.000, 4.629, 0.000], [0.000, 0.000, 3.145]], "species": ["Tc", "Tc", "Br", "Cd"], "fractional_positions": [[0.000, 0.000, 0.000], [0.500, 0.500, 0.000], [0.500, 0.000, 0.500], [0.000, 0.500, 0.500]]}